[1]
The following is a meta-GGA SCAN calculation of TcSN2Cl at its PBEsol-relaxed geometry, from Alexandria via LeMat-Bulk.

Calculated values
total DFT energy (no corrections) = -11.7762 eV per atom
formation energy without anion corrections = 2.473 eV per atom
space-group type = P4/mmm (123)

Cell lengths 3.6324, 3.6324, 4.3652 Å; angles 90.00, 90.00, 90.00 degrees
Site moments in Bohr magnetons follow the coordinates.
Fractional coordinates of all 5 atoms:
Cl  0.0000  0.0000  0.0000  0.00
S  0.0000  0.0000  0.5000  -0.04
N  0.5000  0.0000  0.0000  -0.13
N  0.0000  0.5000  0.0000  -0.13
Tc  0.5000  0.5000  0.5000  2.88



[2]
The following is a meta-GGA SCAN calculation of SrLa2Tl at its PBEsol-relaxed geometry, from Alexandria via LeMat-Bulk.

Calculated values
formation energy = -0.23 eV per atom
total DFT energy (no corrections) = -45.4407 eV per atom
energy relative to the lowest polymorph listed for this composition = 76 meV/atom
space-group type = I4/mmm (139)

Cell lengths 4.9609, 4.9609, 6.2340 Å; angles 113.45, 113.45, 90.00 degrees
Fractional coordinates of all 4 atoms:
Tl  0.0000  0.0000  0.0000
Sr  0.5000  0.5000  0.0000
La  0.7500  0.2500  0.5000
La  0.2500  0.7500  0.5000



[3]
The following is a meta-GGA SCAN calculation of YTi2InN at its PBEsol-relaxed geometry, from Alexandria via LeMat-Bulk.

Calculated values
total DFT energy (no corrections) = -19.2010 eV per atom
formation energy without anion corrections = 1.315 eV per atom
space-group type = P4/mmm (123)

Cell lengths 4.1979, 5.0713, 5.0713 Å; angles 90.00, 90.00, 90.00 degrees
Fractional coordinates of all 5 atoms:
Y  0.0000  0.0000  0.0000
Ti  0.0000  0.0000  0.5000
Ti  0.0000  0.5000  0.0000
N  0.5000  0.0000  0.0000
In  0.5000  0.5000  0.5000



[4]
The following is a meta-GGA SCAN calculation of LiTcAu2 at its PBEsol-relaxed geometry, from Alexandria via LeMat-Bulk.

Calculated values
formation energy = 0.15 eV per atom
total DFT energy (no corrections) = -43.7874 eV per atom
space-group type = F-43m (216)

Cell lengths 4.4218, 4.4218, 4.4218 Å; angles 60.00, 60.00, 60.00 degrees
Site moments in Bohr magnetons follow the coordinates.
Fractional coordinates of all 4 atoms:
Au  0.7500  0.7500  0.7500  -0.03
Au  0.0000  0.0000  0.0000  0.10
Li  0.5000  0.5000  0.5000  0.00
Tc  0.2500  0.2500  0.2500  2.46



[5]
The following is a meta-GGA SCAN calculation of La2YTl at its PBEsol-relaxed geometry, from Alexandria via LeMat-Bulk.

Calculated values
formation energy = -0.35 eV per atom
total DFT energy (no corrections) = -46.9497 eV per atom
energy relative to the lowest polymorph listed for this composition = 0 meV/atom
space-group type = I4/mmm (139)

Cell lengths 4.7683, 4.7683, 6.1673 Å; angles 112.74, 112.74, 90.00 degrees
Fractional coordinates of all 4 atoms:
La  0.2500  0.7500  0.5000
La  0.7500  0.2500  0.5000
Tl  0.5000  0.5000  0.0000
Y  0.0000  0.0000  0.0000



[6]
The following is a meta-GGA SCAN calculation of SrPb2Au at its PBEsol-relaxed geometry, from Alexandria via LeMat-Bulk.

Calculated values
formation energy = -0.55 eV per atom
total DFT energy (no corrections) = -61.2984 eV per atom
space-group type = P2/m (10)

Cell lengths 4.6807, 5.0111, 5.2065 Å; angles 104.24, 90.00, 90.00 degrees
Fractional coordinates of all 4 atoms:
Au  0.5000  0.5000  0.0000
Sr  0.5000  0.0000  0.5000
Pb  0.0000  0.3049  0.1986
Pb  0.0000  0.6951  0.8014



The records above give, respectively, ρ values of 5.6 7.5 4.8 13.6 8.1 9.8 g/cm3.